(1)
The following is a SCAN calculation of a crystal of Be4NiPt relaxed with PBEsol, from the Alexandria database.

The space group is F-43m (No. 216) and the conventional cell measures 6.018, 6.018 and 6.018 Å, with angles of 90.00, 90.00 and 90.00 degrees. The asymmetric unit holds Be at (0.124, 0.124, 0.124), Ni at (0.250, 0.250, 0.750) and Pt at (0.000, 0.000, 0.500).

The density of states at the Fermi level comes out at 13.2 states/eV/cell. As for the formation energy: -553 meV/atom. Its final energy is -17.850 eV/atom.

(2)
The following is a SCAN calculation of a crystal of InCu2Br relaxed with PBEsol, from the Alexandria database.

The space group is P4/mmm (No. 123) and the conventional cell measures 3.490, 3.490 and 6.081 Å, with angles of 90.00, 90.00 and 90.00 degrees. The asymmetric unit holds In at (0.000, 0.000, 0.000), Cu at (0.500, 0.500, 0.198) and Br at (0.000, 0.000, 0.500).

The density of states at the Fermi level comes out at 1.1 states/eV/cell. As for the uncorrected formation energy: 0.251 eV per atom. Its final energy is -20.561 eV/atom.

(3)
The following is a SCAN calculation of a crystal of RhW2Se relaxed with PBEsol, from the Alexandria database.

The space group is Pm (No. 6) and the conventional cell measures 2.811, 4.073 and 5.485 Å, with angles of 90.00, 101.57 and 90.00 degrees. The asymmetric unit holds Rh at (0.000, 0.000, 0.000), W at (0.400, 0.500, 0.735), W at (0.703, 0.000, 0.484) and Se at (0.533, 0.500, 0.188).

The density of states at the Fermi level comes out at 2.4 states/eV/cell. As for the uncorrected formation energy: 0.356 eV per atom. Its final energy is -47.951 eV/atom.

(4)
The following is a SCAN calculation of a crystal of ZrTaSb2 relaxed with PBEsol, from the Alexandria database.

The space group is P4mm (No. 99) and the conventional cell measures 3.045, 3.045 and 10.098 Å, with angles of 90.00, 90.00 and 90.00 degrees. The asymmetric unit holds Zr at (0.000, 0.000, 0.000), Ta at (0.500, 0.500, 0.780), Sb at (0.000, 0.000, 0.566) and Sb at (0.500, 0.500, 0.228).

The density of states at the Fermi level comes out at 3.1 states/eV/cell. As for the uncorrected formation energy: -0.056 eV per atom. Its final energy is -43.007 eV/atom.

(5)
The following is a SCAN calculation of a crystal of Y2AlTeAs relaxed with PBEsol, from the Alexandria database.

The space group is P4/mmm (No. 123) and the conventional cell measures 5.583, 5.583 and 5.003 Å, with angles of 90.00, 90.00 and 90.00 degrees. The asymmetric unit holds Y at (0.000, 0.500, 0.000), Al at (0.000, 0.000, 0.500), Te at (0.000, 0.000, 0.000) and As at (0.500, 0.500, 0.500).

The density of states at the Fermi level comes out at 4.6 states/eV/cell. As for the uncorrected formation energy: 0.204 eV per atom. Its final energy is -23.972 eV/atom.

(6)
The following is a SCAN calculation of a crystal of MnRuRh relaxed with PBEsol, from the Alexandria database.

The space group is Fmm2 (No. 42) and the conventional cell measures 2.763, 4.468 and 12.870 Å, with angles of 90.00, 90.00 and 90.00 degrees. The asymmetric unit holds Mn at (0.000, 0.000, 0.000), Ru at (0.000, 0.000, 0.342) and Rh at (0.000, 0.000, 0.662).

The density of states at the Fermi level comes out at 10.1 states/eV/cell. As for the formation energy: 72 meV/atom. Its final energy is -28.879 eV/atom.

(7)
The following is a SCAN calculation of a crystal of SiBi2As relaxed with PBEsol, from the Alexandria database.

The space group is I-42d (No. 122) and the conventional cell measures 8.005, 8.005 and 6.299 Å, with angles of 90.00, 90.00 and 90.00 degrees. The asymmetric unit holds Si at (0.000, 0.000, 0.000), Bi at (0.238, 0.750, 0.125) and As at (0.000, 0.000, 0.500).

The density of states at the Fermi level comes out at 7.4 states/eV/cell. As for the uncorrected formation energy: 0.435 eV per atom. Its final energy is -46.407 eV/atom.

(8)
The following is a SCAN calculation of a crystal of CdTe relaxed with PBEsol, from the Alexandria database.

The space group is Cmmm (No. 65) and the conventional cell measures 8.707, 9.326 and 4.216 Å, with angles of 90.00, 90.00 and 90.00 degrees. The asymmetric unit holds Cd at (0.000, 0.000, 0.000), Cd at (0.236, 0.000, 0.500), Te at (0.000, 0.500, 0.000) and Te at (0.250, 0.250, 0.000).

The density of states at the Fermi level comes out at 4.2 states/eV/cell. As for the uncorrected formation energy: -0.003 eV per atom. Its final energy is -33.836 eV/atom.

(9)
The following is a SCAN calculation of a crystal of Eu3Y relaxed with PBEsol, from the Alexandria database.

The space group is P6_3/mmc (No. 194) and the conventional cell measures 7.3886, 7.3886 and 5.9533 Å, with angles of 90.00, 90.00 and 120.00 degrees. The asymmetric unit holds Eu at (0.1689, 0.3378, 0.2500) and Y at (0.3333, 0.6667, 0.7500).

The density of states at the Fermi level comes out at 12.3 states/eV/cell. As for the formation energy: 84 meV/atom. Its final energy is -47.161 eV/atom.

(10)
The following is a SCAN calculation of a crystal of CaSiP2O relaxed with PBEsol, from the Alexandria database.

The space group is P4/mmm (No. 123) and the conventional cell measures 5.170, 5.170 and 3.992 Å, with angles of 90.00, 90.00 and 90.00 degrees. The asymmetric unit holds Ca at (0.000, 0.000, 0.000), Si at (0.500, 0.500, 0.500), P at (0.000, 0.500, 0.000) and O at (0.000, 0.000, 0.500).

The density of states at the Fermi level comes out at 4.5 states/eV/cell. As for the uncorrected formation energy: 0.861 eV per atom. Its final energy is -8.480 eV/atom.